A plane-wave DFT calculation with GGA-PBE was carried out for a relaxed structure of Ca4TbPa3P8.

```
Ca4TbPa3P8
1.0
-0.5422 6.4456 4.9227
3.7193 -4.1769 5.8787
3.4940 0.7448 -7.3013
Ca Tb Pa P
4 1 3 8
direct
0.5000 0.0000 0.0000 Ca
0.5000 0.0000 0.5000 Ca
0.0000 0.0000 0.0000 Ca
0.0000 0.0000 0.5000 Ca
0.0000 0.5000 0.0000 Tb
0.5000 0.5000 0.0000 Pa
0.5000 0.5000 0.5000 Pa
0.0000 0.5000 0.5000 Pa
0.2472 0.7304 0.9832 P
0.2472 0.7305 0.4945 P
0.2565 0.2696 0.5130 P
0.7360 0.7304 0.9832 P
0.2640 0.2696 0.0168 P
0.7435 0.7304 0.4870 P
0.7528 0.2695 0.5055 P
0.7528 0.2696 0.0168 P
```

Output
- Space-group type: R-3m (166)
- Formation energy from the elements: -1299 meV per atom
- Mass density: 5525 kg/m3

A plane-wave DFT calculation with GGA-PBE was carried out for a relaxed structure of Y4AsSe2.

```
Y4AsSe2
1.0
-1.9728 2.0515 2.8338
-5.9222 -1.4921 -3.0426
3.4963 -5.9213 3.8744
Y As Se
4 1 2
direct
0.1168 0.7794 0.2336 Y
0.8832 0.2206 0.7664 Y
0.3785 0.7144 0.7571 Y
0.6215 0.2856 0.2429 Y
0.0000 0.0000 0.0000 As
0.2563 0.2498 0.5125 Se
0.7437 0.7502 0.4875 Se
```

Output
- Space-group type: C2/m (12)
- Mass density: 5244 kg/m3
- Energy relative to the elements, uncorrected: -134 kJ per mole of atoms

A plane-wave DFT calculation with GGA-PBE was carried out for a relaxed structure of Tb2CeCdHg4.

```
Tb2CeCdHg4
1.0
-2.2162 -3.4779 3.0789
1.9675 -0.9335 4.6632
-5.3252 4.9694 6.0816
Tb Ce Cd Hg
2 1 1 4
direct
0.7594 0.7594 0.7219 Tb
0.2406 0.2406 0.2781 Tb
0.0000 0.0000 0.0000 Ce
0.5000 0.5000 0.5000 Cd
0.3762 0.3762 0.8715 Hg
0.8762 0.8762 0.3714 Hg
0.1238 0.1238 0.6286 Hg
0.6238 0.6238 0.1285 Hg
```

Output
- Space-group type: R-3m (166)
- Formation energy from the elements: -365 meV per atom
- Mass density: 11027 kg/m3